No. 1
5
Lattice="3.465 0.000 0.000 0.000 3.465 0.000 0.000 0.000 3.585" Properties=species:S:1:pos:R:3 comment="ZnCO2F (PBE, relaxed)" sg="P4/mmm, No. 123" crystal_system=tetragonal dos_ef_per_ev_atom=0.173 formation_energy_uncorrected_ev_per_atom=0.275 vol_a3_per_atom=8.61 total_energy_ev_per_atom=-4.182 pbc="T T T"
Zn 0.000 0.000 0.000
C 1.733 1.733 1.793
O 0.000 1.733 1.793
O 1.733 0.000 1.793
F 1.733 1.733 0.000



No. 2
15
Lattice="4.101 2.368 6.825 -4.101 2.368 6.825 0.000 -4.736 6.825" Properties=species:S:1:pos:R:3 comment="Ca3PmHo3Se8 (PBE, relaxed)" sg="R-3m, No. 166" crystal_system=trigonal dos_ef_per_ev_atom=0.317 formation_energy_uncorrected_ev_per_atom=-1.903 vol_a3_per_atom=26.52 total_energy_ev_per_atom=-5.394 pbc="T T T"
Ca -2.051 -1.184 6.825
Ca -2.051 1.184 13.651
Ca 0.000 2.368 6.825
Pm 0.000 0.000 10.238
Ho -4.101 0.000 10.238
Ho -2.051 1.184 3.413
Ho 2.051 1.184 3.413
Se -2.105 -1.215 11.914
Se 0.000 -2.430 8.562
Se -2.105 1.215 8.562
Se 0.000 0.000 5.072
Se 0.000 0.000 15.404
Se 2.105 -1.215 11.914
Se 0.000 2.430 11.914
Se 2.105 1.215 8.562



No. 3
4
Lattice="0.000 3.985 3.985 3.985 0.000 3.985 3.985 3.985 0.000" Properties=species:S:1:pos:R:3 comment="BaNdTlAu (PBE, relaxed)" ef_kcal_per_mol_atoms=-9.7 sg="F-43m, No. 216" crystal_system=cubic dos_ef_per_ev_atom=0.752 vol_a3_per_atom=31.64 total_energy_ev_per_atom=-3.505 pbc="T T T"
Ba 0.000 0.000 0.000
Nd 3.985 3.985 3.985
Tl 1.992 1.992 1.992
Au 5.977 5.977 5.977



No. 4
6
Lattice="7.391 -1.881 0.000 7.391 1.881 0.000 -3.909 0.000 9.640" Properties=species:S:1:pos:R:3 comment="K2Mn (PBE, relaxed)" ef_kcal_per_mol_atoms=15.3 sg="C2/m, No. 12" crystal_system=monoclinic dos_ef_per_ev_atom=0.937 relative_energy_mev_per_atom=0 vol_a3_per_atom=44.67 total_energy_ev_per_atom=-3.124 pbc="T T T"
K -0.270 0.000 1.871
K 3.528 0.000 3.354
K 7.345 0.000 6.286
K 11.143 0.000 7.770
Mn 0.736 0.000 9.409
Mn 10.137 0.000 0.231



No. 5
11
Lattice="5.884 0.000 0.000 -2.942 5.096 0.000 0.000 0.000 7.101" Properties=species:S:1:pos:R:3 comment="Ag3HgAu7 (PBE, relaxed)" ef_kcal_per_mol_atoms=1.1 sg="P3m1, No. 156" crystal_system=trigonal dos_ef_per_ev_atom=0.379 vol_a3_per_atom=19.36 total_energy_ev_per_atom=-2.841 pbc="T T T"
Ag 0.000 1.712 0.000
Ag -1.459 4.239 0.000
Ag 1.459 4.239 0.000
Hg 0.000 0.000 4.741
Au 0.000 3.397 2.345
Au 1.496 0.864 2.285
Au 2.942 0.025 4.778
Au 1.493 2.535 4.778
Au 4.388 0.864 2.285
Au 2.942 3.368 2.285
Au 4.391 2.535 4.778



No. 6
13
Lattice="0.000 6.107 6.107 6.107 0.000 6.107 6.107 6.107 0.000" Properties=species:S:1:pos:R:3 comment="CsHg4Cl8 (PBE, relaxed)" sg="F-43m, No. 216" crystal_system=cubic dos_ef_per_ev_atom=0.280 relative_energy_mev_per_atom=59 formation_energy_uncorrected_ev_per_atom=-0.664 vol_a3_per_atom=35.05 total_energy_ev_per_atom=-1.959 pbc="T T T"
Cs 0.000 0.000 0.000
Hg 7.588 4.627 4.627
Hg 4.627 7.588 4.627
Hg 4.627 4.627 7.588
Hg 7.588 7.588 7.588
Cl 4.800 4.800 4.800
Cl 7.415 7.415 4.800
Cl 7.415 4.800 7.415
Cl 10.376 7.946 7.946
Cl 4.800 7.415 7.415
Cl 7.946 10.376 7.946
Cl 7.946 7.946 10.376
Cl 10.376 10.376 10.376



No. 7
5
Lattice="4.617 0.000 0.000 0.000 4.617 0.000 0.000 0.000 5.405" Properties=species:S:1:pos:R:3 comment="Ga2NiHgPb (PBE, relaxed)" ef_kcal_per_mol_atoms=-0.6 sg="P4/mmm, No. 123" crystal_system=tetragonal dos_ef_per_ev_atom=0.488 vol_a3_per_atom=23.04 total_energy_ev_per_atom=-3.194 pbc="T T T"
Ga 0.000 2.309 0.000
Ga 2.309 0.000 0.000
Ni 0.000 0.000 0.000
Hg 2.309 2.309 2.702
Pb 0.000 0.000 2.702



No. 8
4
Lattice="3.103 0.000 0.000 -1.551 2.687 0.000 0.000 0.000 9.340" Properties=species:S:1:pos:R:3 comment="Zr2AlSi (PBE, relaxed)" sg="P-6m2, No. 187" crystal_system=hexagonal dos_ef_per_ev_atom=1.056 relative_energy_mev_per_atom=437 formation_energy_uncorrected_ev_per_atom=-0.298 vol_a3_per_atom=19.47 total_energy_ev_per_atom=-6.863 pbc="T T T"
Zr 0.000 0.000 2.233
Zr 0.000 0.000 7.107
Al 1.551 0.896 4.670
Si 1.551 0.896 0.000



No. 9
18
Lattice="1.738 -6.722 0.000 1.738 6.722 0.000 0.000 0.000 11.219" Properties=species:S:1:pos:R:3 comment="Ca2NpWN5 (PBE, relaxed)" sg="Cmc2_1, No. 36" crystal_system=orthorhombic dos_ef_per_ev_atom=0.465 formation_energy_uncorrected_ev_per_atom=-0.963 vol_a3_per_atom=14.56 total_energy_ev_per_atom=-8.910 pbc="T T T"
Ca 1.738 5.539 5.609
Ca 1.738 4.660 1.588
Ca 1.738 -4.660 7.198
Ca 1.738 -5.539 0.000
Np 1.738 3.807 9.701
Np 1.738 -3.807 4.091
W 1.738 0.290 3.086
W 1.738 -0.290 8.695
N 1.738 6.085 9.585
N 1.738 3.067 5.471
N 1.738 2.547 2.858
N 1.738 1.590 9.275
N 1.738 0.020 6.901
N 1.738 -0.020 1.291
N 1.738 -1.590 3.666
N 1.738 -2.547 8.467
N 1.738 -3.067 11.081
N 1.738 -6.085 3.976



No. 10
4
Lattice="1.916 1.106 5.405 -1.916 1.106 5.405 0.000 -2.213 5.405" Properties=species:S:1:pos:R:3 comment="V2HOs (PBE, relaxed)" sg="R-3m, No. 166" crystal_system=trigonal dos_ef_per_ev_atom=0.557 relative_energy_mev_per_atom=418 vol_a3_per_atom=17.19 total_energy_ev_per_atom=-7.640 pbc="T T T"
V 0.000 0.000 1.732
V 0.000 0.000 14.482
H 0.000 0.000 0.000
Os 0.000 0.000 8.107



No. 11
6
Lattice="4.402 0.000 0.000 0.000 4.402 0.000 0.000 0.000 7.847" Properties=species:S:1:pos:R:3 comment="LiCeSb (PBE, relaxed)" sg="P4/nmm, No. 129" crystal_system=tetragonal dos_ef_per_ev_atom=2.430 relative_energy_mev_per_atom=0 formation_energy_uncorrected_ev_per_atom=-0.761 vol_a3_per_atom=25.34 total_energy_ev_per_atom=-4.751 pbc="T T T"
Li 1.101 3.302 0.000
Li 3.302 1.101 0.000
Ce 1.101 1.101 2.794
Ce 3.302 3.302 5.053
Sb 1.101 1.101 6.076
Sb 3.302 3.302 1.770



No. 12
12
Lattice="1.779 -9.239 0.000 1.779 9.239 0.000 0.000 0.000 11.486" Properties=species:S:1:pos:R:3 comment="SmDyHo4 (PBE, relaxed)" ef_kcal_per_mol_atoms=0.2 sg="Cmc2_1, No. 36" crystal_system=orthorhombic dos_ef_per_ev_atom=1.348 relative_energy_mev_per_atom=0 vol_a3_per_atom=31.46 total_energy_ev_per_atom=-4.598 pbc="T T T"
Sm 1.779 5.136 5.743
Sm 1.779 -5.136 0.000
Dy 1.779 3.063 8.599
Dy 1.779 -3.063 2.857
Ho 1.779 -9.235 2.874
Ho 1.779 9.235 8.617
Ho 1.779 7.212 0.000
Ho 1.779 3.066 2.886
Ho 1.779 1.014 0.002
Ho 1.779 -1.014 5.745
Ho 1.779 -3.066 8.629
Ho 1.779 -7.212 5.743



No. 13
4
Lattice="3.098 0.000 0.000 0.000 3.098 0.000 0.000 0.000 5.118" Properties=species:S:1:pos:R:3 comment="CoNi2Se (PBE, relaxed)" sg="P4mm, No. 99" crystal_system=tetragonal dos_ef_per_ev_atom=1.278 formation_energy_uncorrected_ev_per_atom=0.168 vol_a3_per_atom=12.28 total_energy_ev_per_atom=-5.370 pbc="T T T"
Co 0.000 0.000 0.000
Ni 0.000 0.000 2.472
Ni 1.549 1.549 1.266
Se 1.549 1.549 3.860



No. 14
5
Lattice="4.629 0.000 0.000 0.000 4.629 0.000 0.000 0.000 5.383" Properties=species:S:1:pos:R:3 comment="BaSiNi2Sb (PBE, relaxed)" sg="P4/mmm, No. 123" crystal_system=tetragonal dos_ef_per_ev_atom=1.353 formation_energy_uncorrected_ev_per_atom=0.072 vol_a3_per_atom=23.07 total_energy_ev_per_atom=-4.534 pbc="T T T"
Ba 0.000 0.000 0.000
Si 2.314 2.314 2.692
Ni 0.000 2.314 2.692
Ni 2.314 0.000 2.692
Sb 2.314 2.314 0.000



No. 15
5
Lattice="3.942 0.000 0.000 0.000 3.942 0.000 0.000 0.000 4.330" Properties=species:S:1:pos:R:3 comment="AgHPdPt2 (PBE, relaxed)" sg="P4/mmm, No. 123" crystal_system=tetragonal dos_ef_per_ev_atom=0.881 relative_energy_mev_per_atom=41 vol_a3_per_atom=13.45 total_energy_ev_per_atom=-4.635 pbc="T T T"
Ag 0.000 0.000 0.000
H 0.000 0.000 2.165
Pd 1.971 1.971 0.000
Pt 0.000 1.971 2.165
Pt 1.971 0.000 2.165